# PBE SmLuO, optimized geometry
data_SmLuO
_chemical_formula_sum 'Sm1 Lu1 O1'
_cell_length_a 3.4856
_cell_length_b 3.4856
_cell_length_c 5.8947
_cell_angle_alpha 90.00
_cell_angle_beta 90.00
_cell_angle_gamma 120.00
_symmetry_space_group_name_H-M 'P 3 m 1'
_symmetry_Int_Tables_number 156
loop_
_symmetry_equiv_pos_as_xyz
'x,y,z'
'-y,x-y,z'
'-x+y,-x,z'
'-y,-x,z'
'-x+y,y,z'
'x,x-y,z'
loop_
_atom_site_label
_atom_site_type_symbol
_atom_site_fract_x
_atom_site_fract_y
_atom_site_fract_z
Sm1 Sm 0.0000 0.0000 0.0000
Lu1 Lu 0.3333 0.6667 0.4714
O1 O 0.6667 0.3333 0.2813
# - Formation energy without anion corrections: -1779 meV per atom

***

# PBE Rb3MgH4, optimized geometry
data_Rb3MgH4
_chemical_formula_sum 'Rb6 Mg2 H8'
_cell_length_a 6.548
_cell_length_b 9.015
_cell_length_c 7.240
_cell_angle_alpha 90.00
_cell_angle_beta 90.00
_cell_angle_gamma 90.00
_symmetry_space_group_name_H-M 'I m m 2'
_symmetry_Int_Tables_number 44
loop_
_symmetry_equiv_pos_as_xyz
'x,y,z'
'-x,-y,z'
'-x,y,z'
'x,-y,z'
'x+1/2,y+1/2,z+1/2'
'-x+1/2,-y+1/2,z+1/2'
'-x+1/2,y+1/2,z+1/2'
'x+1/2,-y+1/2,z+1/2'
loop_
_atom_site_label
_atom_site_type_symbol
_atom_site_fract_x
_atom_site_fract_y
_atom_site_fract_z
Rb1 Rb 0.000 0.000 0.000
Rb2 Rb 0.000 0.237 0.460
Mg1 Mg 0.000 0.500 0.946
H1 H 0.000 0.314 0.065
H2 H 0.231 0.500 0.790
# - E: -37.4 eV/cell

***

# PBE AgIBr3, optimized geometry
data_AgIBr3
_chemical_formula_sum 'Ag1 I1 Br3'
_cell_length_a 5.342
_cell_length_b 5.342
_cell_length_c 5.342
_cell_angle_alpha 90.00
_cell_angle_beta 90.00
_cell_angle_gamma 90.00
_symmetry_space_group_name_H-M 'P m -3 m'
_symmetry_Int_Tables_number 221
_symmetry_space_group_name_Hall '-P 4 2 3'
loop_
_atom_site_label
_atom_site_type_symbol
_atom_site_fract_x
_atom_site_fract_y
_atom_site_fract_z
Ag1 Ag 0.000 0.000 0.000
I1 I 0.500 0.500 0.500
Br1 Br 0.000 0.000 0.500
# - Formation energy without anion corrections: 162 meV per atom

***

# PBE Y2CoH, optimized geometry
data_Y2CoH
_chemical_formula_sum 'Y8 Co4 H4'
_cell_length_a 6.566
_cell_length_b 6.566
_cell_length_c 6.566
_cell_angle_alpha 90.00
_cell_angle_beta 90.00
_cell_angle_gamma 90.00
_symmetry_space_group_name_H-M 'F m -3 m'
_symmetry_Int_Tables_number 225
_symmetry_space_group_name_Hall '-F 4 2 3'
loop_
_atom_site_label
_atom_site_type_symbol
_atom_site_fract_x
_atom_site_fract_y
_atom_site_fract_z
Y1 Y 0.250 0.250 0.250
Co1 Co 0.000 0.000 0.000
H1 H 0.000 0.000 0.500
# - E: -92.7 eV/cell

***

# PBE Ba2CaTc, optimized geometry
data_Ba2CaTc
_chemical_formula_sum 'Ba4 Ca2 Tc2'
_cell_length_a 10.906
_cell_length_b 3.807
_cell_length_c 8.571
_cell_angle_alpha 90.00
_cell_angle_beta 109.73
_cell_angle_gamma 90.00
_symmetry_space_group_name_H-M 'C 1 m 1'
_symmetry_Int_Tables_number 8
loop_
_symmetry_equiv_pos_as_xyz
'x,y,z'
'x,-y,z'
'x+1/2,y+1/2,z'
'x+1/2,-y+1/2,z'
loop_
_atom_site_label
_atom_site_type_symbol
_atom_site_fract_x
_atom_site_fract_y
_atom_site_fract_z
Ba1 Ba 0.000 0.000 0.000
Ba2 Ba 0.159 0.000 0.600
Ca1 Ca 0.343 0.000 0.301
Tc1 Tc 0.120 0.500 0.299
# - Calculated formation energy: 601 meV/atom

***

# PBE RbTlAs3, optimized geometry
data_RbTlAs3
_chemical_formula_sum 'Rb1 Tl1 As3'
_cell_length_a 5.771
_cell_length_b 5.771
_cell_length_c 5.771
_cell_angle_alpha 90.00
_cell_angle_beta 90.00
_cell_angle_gamma 90.00
_symmetry_space_group_name_H-M 'P m -3 m'
_symmetry_Int_Tables_number 221
_symmetry_space_group_name_Hall '-P 4 2 3'
loop_
_atom_site_label
_atom_site_type_symbol
_atom_site_fract_x
_atom_site_fract_y
_atom_site_fract_z
Rb1 Rb 0.000 0.000 0.000
Tl1 Tl 0.500 0.500 0.500
As1 As 0.000 0.000 0.500
# - Calculated formation energy: 1375 meV/atom

***

# PBE NiSbOs2, optimized geometry
data_NiSbOs2
_chemical_formula_sum 'Ni1 Sb1 Os2'
_cell_length_a 2.872
_cell_length_b 4.630
_cell_length_c 4.634
_cell_angle_alpha 90.00
_cell_angle_beta 90.00
_cell_angle_gamma 90.00
_symmetry_space_group_name_H-M 'P m m m'
_symmetry_Int_Tables_number 47
loop_
_symmetry_equiv_pos_as_xyz
'x,y,z'
'-x,-y,-z'
'-x,-y,z'
'x,y,-z'
'x,-y,-z'
'-x,y,z'
'-x,y,-z'
'x,-y,z'
loop_
_atom_site_label
_atom_site_type_symbol
_atom_site_fract_x
_atom_site_fract_y
_atom_site_fract_z
Ni1 Ni 0.000 0.000 0.000
Sb1 Sb 0.500 0.500 0.000
Os1 Os 0.000 0.500 0.500
Os2 Os 0.500 0.000 0.500
# - Formation energy without anion corrections: 621 meV per atom

***

# PBE NaGeSe4, optimized geometry
data_NaGeSe4
_chemical_formula_sum 'Na2 Ge2 Se8'
_cell_length_a 5.446
_cell_length_b 7.755
_cell_length_c 7.798
_cell_angle_alpha 90.00
_cell_angle_beta 95.28
_cell_angle_gamma 90.00
_symmetry_space_group_name_H-M 'P 1 2/c 1'
_symmetry_Int_Tables_number 13
loop_
_symmetry_equiv_pos_as_xyz
'x,y,z'
'-x,-y,-z'
'-x,y,-z+1/2'
'x,-y,z+1/2'
loop_
_atom_site_label
_atom_site_type_symbol
_atom_site_fract_x
_atom_site_fract_y
_atom_site_fract_z
Na1 Na 0.000 0.243 0.250
Ge1 Ge 0.500 0.261 0.750
Se1 Se 0.213 0.421 0.889
Se2 Se 0.305 0.054 0.540
# - Formation energy without anion corrections: -326 meV per atom

***

# PBE Ce2ScNb, optimized geometry
data_Ce2ScNb
_chemical_formula_sum 'Ce2 Sc1 Nb1'
_cell_length_a 4.408
_cell_length_b 4.408
_cell_length_c 4.904
_cell_angle_alpha 90.00
_cell_angle_beta 90.00
_cell_angle_gamma 90.00
_symmetry_space_group_name_H-M 'P 4/m m m'
_symmetry_Int_Tables_number 123
_symmetry_space_group_name_Hall '-P 4 2'
loop_
_atom_site_label
_atom_site_type_symbol
_atom_site_fract_x
_atom_site_fract_y
_atom_site_fract_z
Ce1 Ce 0.000 0.500 0.000
Sc1 Sc 0.000 0.000 0.500
Nb1 Nb 0.500 0.500 0.500
# - Calculated formation energy: 210 meV/atom

***

# PBE Ce2BeHg, optimized geometry
data_Ce2BeHg
_chemical_formula_sum 'Ce2 Be1 Hg1'
_cell_length_a 3.667
_cell_length_b 3.667
_cell_length_c 6.952
_cell_angle_alpha 90.00
_cell_angle_beta 90.00
_cell_angle_gamma 90.00
_symmetry_space_group_name_H-M 'P 4/m m m'
_symmetry_Int_Tables_number 123
_symmetry_space_group_name_Hall '-P 4 2'
loop_
_atom_site_label
_atom_site_type_symbol
_atom_site_fract_x
_atom_site_fract_y
_atom_site_fract_z
Ce1 Ce 0.000 0.000 0.200
Be1 Be 0.500 0.500 0.000
Hg1 Hg 0.500 0.500 0.500
# - Calculated formation energy: -54 meV/atom

***

# PBE PSe, optimized geometry
data_PSe
_chemical_formula_sum 'P8 Se8'
_cell_length_a 8.229
_cell_length_b 8.229
_cell_length_c 8.229
_cell_angle_alpha 90.00
_cell_angle_beta 90.00
_cell_angle_gamma 90.00
_symmetry_space_group_name_H-M 'I -4 3 m'
_symmetry_Int_Tables_number 217
_symmetry_space_group_name_Hall 'I -4 2 3'
loop_
_atom_site_label
_atom_site_type_symbol
_atom_site_fract_x
_atom_site_fract_y
_atom_site_fract_z
P1 P 0.156 0.156 0.156
Se1 Se 0.196 0.196 0.804
# - Formation energy without anion corrections: 517 meV per atom

***

# PBE Ca2Co12B7, optimized geometry
data_Ca2Co12B7
_chemical_formula_sum 'Ca2 Co12 B7'
_cell_length_a 8.4967
_cell_length_b 8.4967
_cell_length_c 3.3575
_cell_angle_alpha 90.00
_cell_angle_beta 90.00
_cell_angle_gamma 120.00
_symmetry_space_group_name_H-M 'P -6'
_symmetry_Int_Tables_number 174
loop_
_symmetry_equiv_pos_as_xyz
'x,y,z'
'-x+y,-x,-z'
'-y,x-y,z'
'x,y,-z'
'-x+y,-x,z'
'-y,x-y,-z'
loop_
_atom_site_label
_atom_site_type_symbol
_atom_site_fract_x
_atom_site_fract_y
_atom_site_fract_z
Ca1 Ca 0.0000 0.0000 0.0000
Ca2 Ca 0.3333 0.6667 0.5000
Co1 Co 0.0548 0.2909 0.5000
Co2 Co 0.0924 0.7012 0.0000
Co3 Co 0.3967 0.1824 0.0000
Co4 Co 0.5515 0.4275 0.5000
B1 B 0.0644 0.4329 0.0000
B2 B 0.2814 0.2383 0.5000
B3 B 0.6667 0.3333 0.0000
# - Calculated formation energy: -197 meV/atom

***

Asked for density of states at the Fermi level across the records above, the calculation gives 0.67 0.19 0.61 0.68 1.52 1.78 1.08 0.20 2.15 2.11 0.45 1.14 states/eV per atom in order.
Asked for calculated volume across the records above, the calculation gives 20.7 26.7 30.5 17.7 41.9 38.4 15.4 27.3 23.8 23.4 34.8 10.0 Å³/atom in order.